# RbSrCdBr5 | the Alexandria database | PBE | optimized geometry
# - DFT total energy: -3.048 eV/atom
# - Uncorrected formation energy: -1.557 eV per atom
data_RbSrCdBr5
_space_group_name_H-M_alt 'C 1 2/c 1'
_space_group_IT_number 15
_cell_length_a 9.994
_cell_length_b 13.310
_cell_length_c 10.940
_cell_angle_alpha 90.00
_cell_angle_beta 113.91
_cell_angle_gamma 90.00
loop_
_space_group_symop_operation_xyz
'x,y,z'
'-x,-y,-z'
'-x,y,-z+1/2'
'x,-y,z+1/2'
'x+1/2,y+1/2,z'
'-x+1/2,-y+1/2,-z'
'-x+1/2,y+1/2,-z+1/2'
'x+1/2,-y+1/2,z+1/2'
loop_
_atom_site_label
_atom_site_type_symbol
_atom_site_fract_x
_atom_site_fract_y
_atom_site_fract_z
_atom_site_occupancy
Rb1 Rb 0.000 0.155 0.250 1
Sr1 Sr 0.000 0.500 0.000 1
Cd1 Cd 0.000 0.183 0.750 1
Br1 Br 0.000 0.410 0.250 1
Br2 Br 0.122 0.290 0.620 1
Br3 Br 0.178 0.061 0.938 1